An optimized crystal structure of AcTmOsO6, computed with PBE.

The value obtained for the magnetic moment is 2.0 μB per cell. Its crystal system is trigonal. The raw formation energy comes out at -2.4111 eV per atom.

The structure belongs to space group P312 (No. 149); the cell edges are 5.5126, 5.5126 and 5.2966 Å and the angles 90.00°, 90.00° and 120.00°. The distinct sites, in fractional coordinates, are Ac at (0.0000, 0.0000, 0.0000), Tm at (0.6667, 0.3333, 0.5000), Os at (0.3333, 0.6667, 0.5000) and O at (0.0362, 0.3824, 0.2900).